Entry 1:
GGA-PBE Hf2PPdF, relaxed; calculated volume = 104.2 Å³ per cell; total moment = 0.0 μB/cell; crystal system = tetragonal; symmetry = P4/mmm (123); VASP energy = -6.722 eV/atom
1.0
4.863 0.000 0.000
0.000 4.405 0.000
0.000 0.000 4.863
P Hf Pd F
1 2 1 1
Direct
0.000 0.000 0.000
0.000 0.000 0.500
0.500 0.000 0.000
0.000 0.500 0.000
0.500 0.500 0.500



Entry 2:
GGA-PBE Rb2HfPF6, relaxed; calculated volume = 237.8 Å³ per cell; total moment = 3.0 μB/cell; crystal system = tetragonal; symmetry = I4/mmm (139); VASP energy = -5.534 eV/atom
1.0
6.937 0.000 0.000
0.000 6.937 0.000
3.468 3.468 4.942
P Hf Rb F
1 1 2 6
Direct
0.500 0.500 0.000
0.000 0.000 0.000
0.750 0.250 0.500
0.250 0.750 0.500
0.203 0.203 0.594
0.797 0.797 0.406
0.204 0.204 0.000
0.796 0.796 0.000
0.796 0.204 0.000
0.204 0.796 0.000



Entry 3:
GGA-PBE HfP2SF, relaxed; calculated volume = 81.1 Å³ per cell; total moment = 0.0 μB/cell; crystal system = tetragonal; symmetry = P4/mmm (123); VASP energy = -5.354 eV/atom
1.0
3.956 0.000 0.000
0.000 3.956 0.000
0.000 0.000 5.178
P S Hf F
2 1 1 1
Direct
0.000 0.500 0.000
0.500 0.000 0.000
0.000 0.000 0.500
0.500 0.500 0.500
0.000 0.000 0.000



Entry 4:
GGA-PBE HfP2SF, relaxed; calculated volume = 120.4 Å³ per cell; total moment = 0.0 μB/cell; crystal system = tetragonal; symmetry = P4/mmm (123); VASP energy = -5.313 eV/atom
1.0
-3.511 -0.967 3.434
3.528 -1.653 3.142
0.506 4.439 1.768
P S Hf F
2 1 1 1
Direct
0.000 0.500 0.000
0.500 0.000 0.000
0.000 0.000 0.500
0.000 0.000 0.000
0.500 0.500 0.500



Entry 5:
GGA-PBE HfPS2F, relaxed; calculated volume = 81.5 Å³ per cell; total moment = 0.0 μB/cell; crystal system = tetragonal; symmetry = P4/mmm (123); VASP energy = -5.004 eV/atom
1.0
-0.134 4.554 0.917
-1.914 0.781 -4.162
-3.439 -0.404 1.505
P S Hf F
1 2 1 1
Direct
0.000 0.000 0.500
0.000 0.500 0.000
0.500 0.000 0.000
0.500 0.500 0.500
0.000 0.000 0.000



Entry 6:
GGA-PBE HfPS2F, relaxed; calculated volume = 120.4 Å³ per cell; total moment = 0.4 μB/cell; crystal system = tetragonal; symmetry = P4/mmm (123); VASP energy = -5.293 eV/atom
1.0
4.827 0.000 0.000
0.000 4.827 0.000
0.000 0.000 5.167
P S Hf F
1 2 1 1
Direct
0.000 0.000 0.500
0.000 0.500 0.000
0.500 0.000 0.000
0.000 0.000 0.000
0.500 0.500 0.500



Entry 7:
GGA-PBE HfSnPF2, relaxed; calculated volume = 104.7 Å³ per cell; total moment = 0.0 μB/cell; crystal system = tetragonal; symmetry = P4/mmm (123); VASP energy = -5.655 eV/atom
1.0
4.066 0.000 0.000
0.000 6.331 0.000
0.000 0.000 4.066
P Hf Sn F
1 1 1 2
Direct
0.500 0.500 0.500
0.000 0.500 0.000
0.000 0.000 0.000
0.000 0.000 0.500
0.500 0.000 0.000



Which of these has the highest calculated volume? Rb2HfPF6



What is the formula in the fourth record? HfP2SF



Which of these has the highest total moment? Rb2HfPF6